(1)
Density functional theory data (GGA-PBE) for a relaxed structure of Co13Ni16.

Structure (POSCAR):
```
Co13Ni16
1.0
6.572 -2.968 1.769
-5.429 -4.683 1.927
-0.272 1.228 -7.317
Co Ni
13 16
Cartesian
1.789 -4.592 -1.938
0.494 -3.799 -3.657
0.000 0.000 0.000
4.113 -2.269 -4.146
2.396 -0.873 -0.726
-0.779 -2.305 1.052
0.876 -5.978 1.656
-1.129 -0.429 -2.360
1.420 -1.991 1.023
1.142 -0.104 -2.390
-0.481 -4.917 -1.908
-2.074 -1.512 -0.666
-3.419 -3.345 -4.046
-1.893 -3.909 -0.379
2.317 -3.896 1.977
2.439 -0.347 -4.289
-1.563 -2.916 -2.736
0.167 -1.548 -4.072
2.245 -2.371 -2.786
-3.530 -3.044 1.253
-1.082 -4.382 2.022
0.609 -4.247 0.147
0.304 -2.247 -1.267
4.272 -1.929 1.150
2.901 -3.224 -0.443
-0.177 0.798 -4.757
-2.355 -1.032 -4.225
-3.815 -2.706 -1.607
4.377 -1.536 -1.715
```

As for the space group: No. 217. As for the formation energy: 0.05 eV/atom. Its volume is 315.04 Å³ per cell. The crystal system is cubic.

---

(2)
Density functional theory data (GGA-PBE) for a relaxed structure of NaSrTaNi.

Structure (POSCAR):
```
NaSrTaNi
1.0
-4.452 -1.962 0.118
-1.813 -1.668 4.197
-3.646 2.368 2.188
Na Ni Ta Sr
1 1 1 1
Cartesian
-7.433 -0.947 4.877
-4.955 -0.631 3.252
-2.478 -0.316 1.626
0.000 0.000 0.000
```

As for the space group: No. 216. The calculation puts the total energy at -4.0902 eV per atom. Its volume is 81.51 Å³ per cell. The crystal system is cubic.

---

(3)
Density functional theory data (GGA-PBE) for a relaxed structure of DyTcOs.

Structure (POSCAR):
```
DyTcOs
1.0
-3.754 -0.242 2.410
-3.349 2.849 -0.791
-3.776 -1.460 -1.888
Dy Tc Os
1 1 1
Cartesian
0.000 0.000 0.000
-8.160 0.860 -0.202
-2.720 0.287 -0.067
```

As for the space group: No. 216. As for the formation energy: 1.47 eV/atom. Its volume is 63.05 Å³ per cell. The crystal system is cubic.

---

(4)
Density functional theory data (GGA-PBE) for a relaxed structure of CdAu.

Structure (POSCAR):
```
CdAu
1.0
-0.615 -2.976 -0.482
2.204 0.813 1.987
-3.170 0.091 3.478
Cd Au
1 1
Cartesian
0.472 -0.427 2.033
-2.052 -1.645 2.949
```

As for the space group: No. 187. As for the formation energy: -0.12 eV/atom. Its volume is 38.59 Å³ per cell. The crystal system is hexagonal.

---

(5)
Density functional theory data (GGA-PBE) for a relaxed structure of KPuMg.

Structure (POSCAR):
```
KPuMg
1.0
0.000 4.102 4.102
4.102 0.000 4.102
4.102 4.102 0.000
Pu K Mg
1 1 1
Cartesian
6.153 6.153 6.153
2.051 2.051 2.051
0.000 0.000 0.000
```

As for the space group: No. 216. The calculation puts the total energy at -4.7991 eV per atom. Its volume is 138.06 Å³ per cell. The crystal system is cubic.

---

(6)
Density functional theory data (GGA-PBE) for a relaxed structure of Ac2ErTl.

Structure (POSCAR):
```
Ac2ErTl
1.0
-4.109 -1.607 2.016
2.054 -4.333 0.733
2.189 2.072 6.114
Ac Er Tl
2 1 1
Cartesian
-1.028 -2.970 1.374
1.095 1.036 3.057
0.000 0.000 0.000
0.067 -1.934 4.431
```

As for the space group: No. 123. The calculation puts the total energy at -3.4606 eV per atom. Its volume is 160.41 Å³ per cell. The crystal system is tetragonal.

---

(7)
Density functional theory data (GGA-PBE) for a relaxed structure of IrPdPb2.

Structure (POSCAR):
```
IrPdPb2
1.0
0.000 3.464 3.464
3.464 0.000 3.464
3.464 3.464 0.000
Pd Ir Pb
1 1 2
Cartesian
1.732 1.732 1.732
3.464 3.464 3.464
0.000 0.000 0.000
5.196 5.196 5.196
```

As for the space group: No. 216. The calculation puts the total energy at -4.9627 eV per atom. Its volume is 83.15 Å³ per cell. The crystal system is cubic.

---

(8)
Density functional theory data (GGA-PBE) for a relaxed structure of Be2FeCoSi2Ir2.

Structure (POSCAR):
```
Be2FeCoSi2Ir2
1.0
3.952 0.000 0.000
0.000 3.952 0.000
0.000 0.000 5.595
Si Ir Co Be Fe
2 2 1 2 1
Cartesian
0.000 1.976 1.431
1.976 0.000 4.163
0.000 0.000 2.797
1.976 1.976 0.000
0.000 0.000 0.000
1.976 0.000 1.415
0.000 1.976 4.179
1.976 1.976 2.797
```

As for the space group: No. 115. The calculation puts the total energy at -7.0529 eV per atom. Its volume is 87.38 Å³ per cell. The crystal system is tetragonal.

---

What did the second record say?
Density functional theory data (GGA-PBE) for a relaxed structure of NaSrTaNi.

Structure (POSCAR):
```
NaSrTaNi
1.0
-4.452 -1.962 0.118
-1.813 -1.668 4.197
-3.646 2.368 2.188
Na Ni Ta Sr
1 1 1 1
Cartesian
-7.433 -0.947 4.877
-4.955 -0.631 3.252
-2.478 -0.316 1.626
0.000 0.000 0.000
```

As for the space group: No. 216. The calculation puts the total energy at -4.0902 eV per atom. Its volume is 81.51 Å³ per cell. The crystal system is cubic.